1.
Here is a geometry-optimized Tl2AgP structure from Alexandria. Energies are from PBE-GGA.

```
Tl2AgP
1.0
3.519 0.000 0.000
0.000 3.519 0.000
0.000 0.000 8.148
Tl Ag P
2 1 1
Cartesian
0.000 0.000 0.000
1.759 1.759 2.831
0.000 0.000 5.080
1.759 1.759 5.925
```

Values from the calculation:
* energy: -3.037 eV per atom
* volume: 25.2 Å³ per atom
* energy above the lowest structure with this stoichiometry: 146 meV/atom
* total moment: 0.00 μB/f.u.
* crystal system: tetragonal
* SG: P4mm, No. 99

2.
Here is a geometry-optimized K3Na3SnBr8 structure from Alexandria. Energies are from PBE-GGA.

```
K3Na3SnBr8
1.0
7.673 -4.426 0.000
7.673 4.426 0.000
-5.117 0.000 7.592
K Na Sn Br
3 3 1 8
Cartesian
0.000 0.000 0.000
3.837 2.213 0.000
3.837 -2.213 0.000
1.278 2.213 3.796
1.278 -2.213 3.796
5.115 0.000 3.796
-2.559 0.000 3.796
-0.039 0.000 5.460
3.856 2.244 5.460
6.374 2.244 2.132
2.554 0.000 2.099
7.675 0.000 5.493
3.856 -2.244 5.460
6.374 -2.244 2.132
10.268 0.000 2.132
```

Values from the calculation:
* E_form (uncorrected): -1.478 eV/atom
* energy: -3.120 eV per atom
* volume: 34.4 Å³ per atom
* total moment: 0.00 μB/f.u.
* crystal system: monoclinic
* SG: C2/m, No. 12

3.
Here is a geometry-optimized Na2Cd2In3 structure from Alexandria. Energies are from PBE-GGA.

```
Na2Cd2In3
1.0
5.781 -2.114 0.000
5.781 2.114 0.000
-0.856 0.000 7.888
Na Cd In
2 2 3
Cartesian
1.226 0.000 2.561
9.480 0.000 5.327
4.493 0.000 2.812
6.214 0.000 5.076
1.510 0.000 6.912
5.781 0.000 0.000
9.196 0.000 0.976
```

Values from the calculation:
* energy: -1.868 eV per atom
* volume: 27.5 Å³ per atom
* energy above the lowest structure with this stoichiometry: 0 meV/atom
* total moment: 0.00 μB/f.u.
* crystal system: monoclinic
* SG: C2/m, No. 12

What is the formula in the third record? Na2Cd2In3

Which value of total moment does entry 2 give? 0.00 μB/f.u.

What is the energy in the second record? -3.120 eV per atom

Copy entry 3 word for word.
Here is a geometry-optimized Na2Cd2In3 structure from Alexandria. Energies are from PBE-GGA.

```
Na2Cd2In3
1.0
5.781 -2.114 0.000
5.781 2.114 0.000
-0.856 0.000 7.888
Na Cd In
2 2 3
Cartesian
1.226 0.000 2.561
9.480 0.000 5.327
4.493 0.000 2.812
6.214 0.000 5.076
1.510 0.000 6.912
5.781 0.000 0.000
9.196 0.000 0.976
```

Values from the calculation:
* energy: -1.868 eV per atom
* volume: 27.5 Å³ per atom
* energy above the lowest structure with this stoichiometry: 0 meV/atom
* total moment: 0.00 μB/f.u.
* crystal system: monoclinic
* SG: C2/m, No. 12